Entry 1:
The following is a DFT calculation (PBE) of a geometry-optimized KNdYSbO6 structure.

Calculated values
* density of states at the Fermi level: 0.00 states/eV/cell
* DFT total energy: -70.1 eV for the cell shown
* magnetic moment: 0.00 μB/f.u.

Cell: 5.9063 5.9063 5.9063 Å, 60.00 60.00 60.00°
With the nearest neighbours (Å) after each atom.
Element x y z (fractional)
K 0.2500 0.2500 0.2500  12 O 2.96
Nd 0.7500 0.7500 0.7500  12 O 2.96
Y 0.5000 0.5000 0.5000  6 O 2.19
Sb 0.0000 0.0000 0.0000  6 O 1.98
O 0.2374 0.7626 0.2374  1 Sb 1.98, 1 Y 2.19
O 0.7626 0.2374 0.7626  1 Sb 1.98, 1 Y 2.19
O 0.2374 0.7626 0.7626  1 Sb 1.98, 1 Y 2.19
O 0.7626 0.2374 0.2374  1 Sb 1.98, 1 Y 2.19
O 0.2374 0.2374 0.7626  1 Sb 1.98, 1 Y 2.19
O 0.7626 0.7626 0.2374  1 Sb 1.98, 1 Y 2.19


Entry 2:
The following is a DFT calculation (PBE) of a geometry-optimized ScHgAs structure.

Calculated values
* E above lowest polymorph: 0 meV per atom
* density of states at the Fermi level: 0.15 states/eV/cell
* ΔE_f: -0.588 eV/atom
* magnetic moment: 0.00 μB/f.u.

Cell: 6.6087 6.6087 6.6087 Å, 146.95 146.95 47.44°
With the nearest neighbours (Å) after each atom.
Element x y z (fractional)
As 0.0937 0.0937 0.0000  4 Sc 2.67, 1 Hg 2.92
Hg 0.3348 0.3348 0.0000  1 Sc 2.86, 1 As 2.92
Sc 0.5715 0.5715 0.0000  4 As 2.67, 1 Hg 2.86


Entry 3:
The following is a DFT calculation (PBE) of a geometry-optimized Rb3HgS3 structure.

Calculated values
* E above lowest polymorph: 47 meV per atom
* density of states at the Fermi level: 6.30 states/eV/cell
* magnetic moment: 1.12 μB/f.u.

Cell: 5.6673 8.0232 8.0232 Å, 114.64 103.62 103.62°
With the nearest neighbours (Å) after each atom.
Element x y z (fractional)
Rb 0.4992 0.4685 0.4685  4 S 3.28-3.36
Rb 0.0306 0.0000 0.5315  4 S 3.28-3.36
Rb 0.0306 0.5315 0.0000  4 S 3.28-3.36
Hg 0.3639 0.0000 0.0000  3 S 2.46
S 0.1404 0.6852 0.6852  1 Hg 2.46
S 0.4552 0.0000 0.3148  1 Hg 2.46
S 0.4552 0.3148 0.0000  1 Hg 2.46


Entry 4:
The following is a DFT calculation (PBE) of a geometry-optimized YTaAu2 structure.

Calculated values
* E above lowest polymorph: 19 meV per atom
* density of states at the Fermi level: 3.23 states/eV/cell
* ΔE_f: -0.227 eV/atom
* magnetic moment: 0.00 μB/f.u.

Cell: 3.5393 3.5393 6.5685 Å, 90.00 90.00 90.00°
With the nearest neighbours (Å) after each atom.
Element x y z (fractional)
Au 0.0000 0.0000 0.0146  1 Ta 2.92, 4 Au 2.98, 4 Y 2.99
Au 0.5000 0.5000 0.2602  4 Ta 2.83, 4 Au 2.98
Ta 0.0000 0.0000 0.4598  5 Au 2.83-2.92
Y 0.5000 0.5000 0.7654  6 Au 2.99-3.32, 4 Ta 3.21


Entry 5:
The following is a DFT calculation (PBE) of a geometry-optimized Sm3Er6Tm2Pb structure.

Calculated values
* density of states at the Fermi level: 16.57 states/eV/cell
* ΔE_f: -0.042 eV/atom
* magnetic moment: 0.32 μB/f.u.

Cell: 6.0996 6.0996 11.5692 Å, 95.07 95.07 119.99°
With the nearest neighbours (Å) after each atom.
Element x y z (fractional)
Sm 0.1671 0.8329 0.5000  6 Sm 3.52-3.53, 6 Er 3.53-3.56
Sm 0.8329 0.1671 0.5000  6 Sm 3.52-3.53, 6 Er 3.53-3.56
Sm 0.5000 0.5000 0.5000  6 Sm 3.52, 6 Er 3.54-3.55
Er 0.9193 0.5901 0.7555  1 Pb 3.43, 2 Tm 3.46, 6 Er 3.48-3.54, 3 Sm 3.54-3.56
Er 0.7519 0.7519 0.2460  1 Pb 3.45, 2 Tm 3.46, 6 Er 3.48-3.54, 3 Sm 3.53-3.55
Er 0.0807 0.4099 0.2445  1 Pb 3.43, 2 Tm 3.46, 6 Er 3.48-3.54, 3 Sm 3.54-3.56
Er 0.5901 0.9193 0.7555  1 Pb 3.43, 2 Tm 3.46, 6 Er 3.48-3.54, 3 Sm 3.54-3.56
Er 0.2481 0.2481 0.7540  1 Pb 3.45, 2 Tm 3.46, 6 Er 3.48-3.54, 3 Sm 3.53-3.55
Er 0.4099 0.0807 0.2445  1 Pb 3.43, 2 Tm 3.46, 6 Er 3.48-3.54, 3 Sm 3.54-3.56
Tm 0.3342 0.6658 0.0000  6 Er 3.46, 3 Tm 3.50-3.53, 3 Pb 3.52-3.53
Tm 0.6658 0.3342 0.0000  6 Er 3.46, 3 Tm 3.50-3.53, 3 Pb 3.52-3.53
Pb 0.0000 0.0000 0.0000  6 Er 3.43-3.45, 6 Tm 3.52-3.53


Entry 6:
The following is a DFT calculation (PBE) of a geometry-optimized MnZn6Ga2 structure.

Calculated values
* density of states at the Fermi level: 3.49 states/eV/cell
* ΔE_f: 0.022 eV/atom
* magnetic moment: 2.91 μB/f.u.

Cell: 3.8550 6.1022 6.2879 Å, 104.32 107.85 90.00°
With the nearest neighbours (Å) after each atom.
Element x y z (fractional)
Mn 0.5000 0.5000 0.0000  4 Ga 2.69, 8 Zn 2.73-2.86
Zn 0.3822 0.8279 0.7644  6 Zn 2.65-2.81, 1 Mn 2.73, 4 Ga 2.77-2.86
Zn 0.6178 0.1721 0.2356  6 Zn 2.65-2.81, 1 Mn 2.73, 4 Ga 2.77-2.86
Zn 0.7179 0.8320 0.4358  8 Zn 2.65-2.77, 2 Ga 2.80, 1 Mn 2.86
Zn 0.1679 0.4999 0.3359  2 Ga 2.71-2.79, 8 Zn 2.72-2.81, 2 Mn 2.79
Zn 0.2821 0.1680 0.5642  8 Zn 2.65-2.77, 2 Ga 2.80, 1 Mn 2.86
Zn 0.8321 0.5001 0.6641  2 Ga 2.71-2.79, 8 Zn 2.72-2.81, 2 Mn 2.79
Ga 0.9534 0.1827 0.9068  2 Mn 2.69, 8 Zn 2.71-2.86, 1 Ga 2.74
Ga 0.0466 0.8173 0.0932  2 Mn 2.69, 8 Zn 2.71-2.86, 1 Ga 2.74